Here is crystalline RbHg2MoF8 at its relaxed geometry from Alexandria. Energies are from GGA+U.

Lattice parameters (Å, degrees): 4.6488 5.6903 7.9950 85.82 85.10 79.93
Last column: nearest neighbours and their distance in Å.
Space group P-1 (No. 2)
Symmetry-distinct sites (fractional):
Rb (0.0000, 0.0000, 0.0000)  8 F 2.80-2.86
Hg (0.4518, 0.4851, 0.2577)  3 F 2.11-2.35
Mo (0.0000, 0.0000, 0.5000)  6 F 2.10-2.14
F (0.0250, 0.2487, 0.6769)  1 Mo 2.10
F (0.1145, 0.2184, 0.2898)  1 Mo 2.10, 1 Hg 2.35
F (0.4107, 0.7685, 0.5237)  1 Mo 2.14, 1 Hg 2.25
F (0.4532, 0.2833, 0.9506)  1 Hg 2.11

- Total energy: -3.986 eV per atom
- Calculated density: 5.889 Mg/m³
- V: 207.1 Å³ per cell